Pu6SbRh5 | PBE-GGA | relaxed

## Properties
Magnetization = 0.840 μB/atom
Calculated volume = 245 Å³/cell
E_form (uncorrected) = -0.3889 eV per atom
Total DFT energy (no corrections) = -131.5 eV for the cell shown

abc: 5.3532 6.0744 7.7003
angles: 86.81 100.66 92.85
Fractional positions:
Sb (0.0000, 0.0000, 0.0000)
Rh (0.7424, 0.5037, 0.3264)
Rh (0.2469, 0.0088, 0.6790)
Rh (0.0000, 0.5000, 0.0000)
Rh (0.7531, 0.9912, 0.3210)
Rh (0.2576, 0.4963, 0.6736)
Pu (0.7952, 0.7180, 0.6621)
Pu (0.7372, 0.2259, 0.6329)
Pu (0.5159, 0.2622, 0.0095)
Pu (0.4841, 0.7378, 0.9905)
Pu (0.2628, 0.7741, 0.3671)
Pu (0.2048, 0.2820, 0.3379)


ZnNiPt | PBE-GGA | relaxed

## Properties
Formation enthalpy at 0 K = -76 meV per atom
Magnetization = 0.000 μB/atom
Calculated volume = 47 Å³/cell
Total DFT energy (no corrections) = -13.3 eV for the cell shown

abc: 5.2555 4.1974 2.6781
angles: 89.98 89.98 52.84
Fractional positions:
Zn (0.0000, 0.5000, 0.0000)
Ni (0.0000, 0.0000, 0.5000)
Pt (0.5000, 0.5000, 0.0000)


Li15Au4 | PBE-GGA | relaxed

## Properties
Formation enthalpy at 0 K = -348 meV per atom
Magnetization = 0.000 μB/atom
Calculated volume = 630 Å³/cell
Total DFT energy (no corrections) = -96.9 eV for the cell shown

abc: 9.3546 9.3546 9.3546
angles: 109.47 109.47 109.47
Fractional positions:
Au (0.0000, 0.0000, 0.4093)
Au (0.5907, 0.0907, 0.0907)
Au (0.5000, 0.4093, 0.5000)
Au (0.9093, 0.5000, 0.0000)
Au (0.0000, 0.0000, 0.9093)
Au (0.0907, 0.5907, 0.5907)
Au (0.4093, 0.5000, 0.0000)
Au (0.5000, 0.9093, 0.5000)
Li (0.1250, 0.7500, 0.3750)
Li (0.3750, 0.2500, 0.1250)
Li (0.2500, 0.3750, 0.6250)
Li (0.7500, 0.1250, 0.8750)
Li (0.6250, 0.8750, 0.2500)
Li (0.8750, 0.6250, 0.7500)
Li (0.1569, 0.1951, 0.2738)
Li (0.9213, 0.3831, 0.2262)
Li (0.3431, 0.1169, 0.5382)
Li (0.5787, 0.3049, 0.9618)
Li (0.8049, 0.9618, 0.0787)
Li (0.6169, 0.5382, 0.8431)
Li (0.8831, 0.2262, 0.4213)
Li (0.6951, 0.2738, 0.6569)
Li (0.0382, 0.8431, 0.1169)
Li (0.4618, 0.0787, 0.3049)
Li (0.7738, 0.6569, 0.1951)
Li (0.7262, 0.4213, 0.3831)
Li (0.1951, 0.1569, 0.7738)
Li (0.3831, 0.9213, 0.7262)
Li (0.1169, 0.3431, 0.0382)
Li (0.3049, 0.5787, 0.4618)
Li (0.9618, 0.8049, 0.5787)
Li (0.5382, 0.6169, 0.3431)
Li (0.2262, 0.8831, 0.9213)
Li (0.2738, 0.6951, 0.1569)
Li (0.8431, 0.0382, 0.6169)
Li (0.0787, 0.4618, 0.8049)
Li (0.6569, 0.7738, 0.6951)
Li (0.4213, 0.7262, 0.8831)


Ce4AlSn | PBE-GGA | relaxed

## Properties
Formation enthalpy at 0 K = -282 meV per atom
Magnetization = 0.211 μB/atom
Calculated volume = 144 Å³/cell
Total DFT energy (no corrections) = -33.2 eV for the cell shown

abc: 5.3079 6.0084 6.0086
angles: 95.14 63.79 63.80
Fractional positions:
Ce (0.7559, 0.5878, 0.9002)
Ce (0.7559, 0.9003, 0.5877)
Ce (0.2440, 0.4122, 0.0998)
Ce (0.2440, 0.0997, 0.4123)
Al (0.5000, 0.5000, 0.5000)
Sn (0.0000, 0.0000, 0.0000)


KHg2P | PBE-GGA | relaxed

## Properties
Formation enthalpy at 0 K = 290 meV per atom
Magnetization = 0.000 μB/atom
Calculated volume = 106 Å³/cell
Total DFT energy (no corrections) = -5.9 eV for the cell shown

abc: 5.8185 5.8185 3.4130
angles: 90.00 90.00 113.74
Fractional positions:
Hg (0.0000, 0.0000, 0.0000)
Hg (0.5000, 0.5000, 0.0000)
K (0.5000, 0.0000, 0.5000)
P (0.0000, 0.5000, 0.5000)


Zr6GaSb3 | PBE-GGA | relaxed

## Properties
Magnetization = 0.000 μB/atom
Calculated volume = 474 Å³/cell
E_form (uncorrected) = -0.4258 eV per atom
Total DFT energy (no corrections) = -141.9 eV for the cell shown

abc: 6.8394 7.5935 9.1198
angles: 90.00 89.90 90.00
Fractional positions:
Zr (0.6472, 0.1546, 0.9479)
Zr (0.6381, 0.1738, 0.5549)
Zr (0.7219, 0.4385, 0.2579)
Zr (0.2781, 0.5615, 0.7421)
Zr (0.3619, 0.8262, 0.4451)
Zr (0.3528, 0.8454, 0.0521)
Zr (0.1472, 0.3454, 0.4479)
Zr (0.1381, 0.3262, 0.0549)
Zr (0.2219, 0.0615, 0.7579)
Zr (0.7781, 0.9385, 0.2421)
Zr (0.8619, 0.6738, 0.9451)
Zr (0.8528, 0.6546, 0.5521)
Ga (0.5000, 0.5000, 0.5000)
Ga (0.0000, 0.0000, 0.0000)
Sb (0.5762, 0.8575, 0.7437)
Sb (0.5000, 0.5000, 0.0000)
Sb (0.4238, 0.1425, 0.2563)
Sb (0.0762, 0.6425, 0.2437)
Sb (0.0000, 0.0000, 0.5000)
Sb (0.9238, 0.3575, 0.7563)